Material: NaNiN3
Method: DFT, PBE-GGA
State: relaxed

For the density of states at the Fermi level, the calculation gives 6.02 states/eV/cell. The calculation puts the formation energy without anion corrections at 1501 meV per atom. The total energy comes out at -4.91 eV/atom. Its density is 3.9 g cm⁻³.

The structure belongs to space group Pm-3m (No. 221); the cell edges are 3.737, 3.737 and 3.737 Å and the angles 90.00°, 90.00° and 90.00°. Symmetry generates all atoms from Na at (0.000, 0.000, 0.000), Ni at (0.500, 0.500, 0.500) and N at (0.000, 0.500, 0.500).